A geometry-optimized La2Pr2Y4Ho structure, computed with PBE-GGA.

Results
VASP energy ... -5.5341 eV per atom
DOS at the Fermi energy ... 1.541 states/eV per atom
Symmetry ... C2/m

POSCAR file:
```
La2Pr2Y4Ho
1.0
3.6743 0.0000 0.0000
-1.8372 9.4962 -0.4946
0.0000 -3.7687 8.9963
La Pr Y Ho
2 2 4 1
direct
0.3356 0.6711 0.0001
0.6644 0.3289 0.9999
0.8527 0.7054 0.3361
0.1473 0.2946 0.6639
0.8152 0.6305 0.6638
0.1848 0.3695 0.3362
0.5202 0.0403 0.3315
0.4798 0.9597 0.6685
0.0000 0.0000 0.0000
```